NdHoZn4 after structural relaxation. Source: the Alexandria database, functional GGA-PBE.

Cell: 7.796 7.796 7.796 Å, 90.00 90.00 90.00°
Space group F-43m (No. 216)
Asymmetric unit:
Nd 0.000 0.000 0.000 x4
Ho 0.250 0.250 0.750 x4
Zn 0.125 0.125 0.375 x16

Values from the calculation:
E_form, eV per atom: -0.325
Energy above the lowest structure with this stoichiometry, kJ/mol of formula units: 17
Total moment, μB/atom: 0.00



NdHo2Zn after structural relaxation. Source: the Alexandria database, functional GGA-PBE.

Cell: 3.577 3.577 8.704 Å, 90.00 90.00 90.00°
Space group P4/mmm (No. 123)
Asymmetric unit:
Nd 0.000 0.000 0.000 x1
Ho 0.500 0.500 0.298 x2
Zn 0.000 0.000 0.500 x1

Values from the calculation:
E_form, eV per atom: -0.164
Energy above the lowest structure with this stoichiometry, kJ/mol of formula units: 0
Total moment, μB/atom: 0.00



Nd2Ho2Zn3 after structural relaxation. Source: the Alexandria database, functional GGA-PBE.

Cell: 5.031 5.033 8.789 Å, 73.50 73.51 60.14°
Space group P-1 (No. 2)
Asymmetric unit:
Nd 0.125 0.127 0.121 x2
Ho 0.375 0.376 0.373 x2
Zn 0.000 0.000 0.500 x1
Zn 0.255 0.255 0.735 x2

Values from the calculation:
E_form, eV per atom: -0.198
Total moment, μB/atom: 0.00